Entry 1:
Compound: MgTcRh2
Source: the Alexandria database
Functional: GGA-PBE
Structure: relaxed

a b c (Å): 6.1906 6.1906 6.1906
angles (deg): 90.00 90.00 90.00
With the nearest neighbours (Å) after each atom.
Sites, in units of the cell vectors:
Mg 0.0000 0.0000 0.0000  4 Tc 2.68, 4 Rh 2.68
Mg 0.0000 0.5000 0.5000  4 Tc 2.68, 4 Rh 2.68
Mg 0.5000 0.0000 0.5000  4 Tc 2.68, 4 Rh 2.68
Mg 0.5000 0.5000 0.0000  4 Tc 2.68, 4 Rh 2.68
Tc 0.2500 0.2500 0.7500  4 Mg 2.68, 4 Rh 2.68
Tc 0.2500 0.7500 0.2500  4 Mg 2.68, 4 Rh 2.68
Tc 0.7500 0.2500 0.2500  4 Mg 2.68, 4 Rh 2.68
Tc 0.7500 0.7500 0.7500  4 Mg 2.68, 4 Rh 2.68
Rh 0.0000 0.0000 0.5000  4 Tc 2.68, 4 Rh 2.68
Rh 0.0000 0.5000 0.0000  4 Tc 2.68, 4 Rh 2.68
Rh 0.2500 0.2500 0.2500  4 Mg 2.68, 4 Rh 2.68
Rh 0.2500 0.7500 0.7500  4 Mg 2.68, 4 Rh 2.68
Rh 0.5000 0.0000 0.0000  4 Tc 2.68, 4 Rh 2.68
Rh 0.5000 0.5000 0.5000  4 Tc 2.68, 4 Rh 2.68
Rh 0.7500 0.2500 0.7500  4 Mg 2.68, 4 Rh 2.68
Rh 0.7500 0.7500 0.2500  4 Mg 2.68, 4 Rh 2.68

Crystal system: cubic
Magnetic moment in μB per atom: 0.144
E_tot in eV for the cell shown: -104.81
Space-group type: F-43m
ΔE_f in eV per atom: 0.12



Entry 2:
Compound: MgTcRh
Source: the Alexandria database
Functional: GGA-PBE
Structure: relaxed

a b c (Å): 4.5300 4.5300 5.0831
angles (deg): 90.00 90.00 120.00
With the nearest neighbours (Å) after each atom.
Sites, in units of the cell vectors:
Mg 0.3333 0.6667 0.2500  5 Rh 2.54-2.62
Mg 0.6667 0.3333 0.7500  5 Rh 2.54-2.62
Tc 0.0000 0.0000 0.0000  2 Tc 2.54
Tc 0.0000 0.0000 0.5000  2 Tc 2.54
Rh 0.3333 0.6667 0.7500  5 Mg 2.54-2.62
Rh 0.6667 0.3333 0.2500  5 Mg 2.54-2.62

Crystal system: hexagonal
Magnetic moment in μB per atom: 0.000
E_tot in eV for the cell shown: -38.47
Space-group type: P6_3/mmc
ΔE_f in eV per atom: 0.03



Entry 3:
Compound: Mg2TcRh
Source: the Alexandria database
Functional: GGA-PBE
Structure: relaxed

a b c (Å): 2.9417 4.7681 9.0411
angles (deg): 90.00 90.00 90.00
With the nearest neighbours (Å) after each atom.
Sites, in units of the cell vectors:
Mg 0.0000 0.0000 0.2394  2 Rh 2.62, 2 Tc 2.78, 4 Mg 2.81
Mg 0.0000 0.0000 0.7606  2 Rh 2.62, 2 Tc 2.78, 4 Mg 2.81
Mg 0.5000 0.5000 0.2606  2 Rh 2.62, 2 Tc 2.78, 4 Mg 2.81
Mg 0.5000 0.5000 0.7394  2 Rh 2.62, 2 Tc 2.78, 4 Mg 2.81
Tc 0.0000 0.5000 0.0000  4 Mg 2.78, 4 Rh 2.80, 2 Tc 2.94
Tc 0.5000 0.0000 0.5000  4 Mg 2.78, 4 Rh 2.80, 2 Tc 2.94
Rh 0.0000 0.5000 0.5000  4 Mg 2.62, 4 Tc 2.80
Rh 0.5000 0.0000 0.0000  4 Mg 2.62, 4 Tc 2.80

Crystal system: orthorhombic
Magnetic moment in μB per atom: 0.019
E_tot in eV for the cell shown: -41.19
Space-group type: Immm
ΔE_f in eV per atom: 0.08



Entry 4:
Compound: Mg2TcRh
Source: the Alexandria database
Functional: GGA-PBE
Structure: relaxed

a b c (Å): 2.9106 2.9106 8.0086
angles (deg): 90.00 90.00 90.00
With the nearest neighbours (Å) after each atom.
Sites, in units of the cell vectors:
Mg 0.0000 0.0000 0.0000  4 Tc 2.84, 4 Mg 2.91
Mg 0.5000 0.5000 0.3231  4 Rh 2.75, 4 Mg 2.91
Tc 0.5000 0.5000 0.7549  4 Rh 2.63, 4 Mg 2.84, 4 Tc 2.91
Rh 0.0000 0.0000 0.5513  4 Tc 2.63, 4 Mg 2.75, 4 Rh 2.91

Crystal system: tetragonal
Magnetic moment in μB per atom: 0.000
E_tot in eV for the cell shown: -21.31
Space-group type: P4mm
ΔE_f in eV per atom: -0.10



Entry 5:
Compound: MgTc2Rh
Source: the Alexandria database
Functional: GGA-PBE
Structure: relaxed

a b c (Å): 2.9300 4.6050 8.9909
angles (deg): 90.00 90.00 90.00
With the nearest neighbours (Å) after each atom.
Sites, in units of the cell vectors:
Mg 0.0000 0.0000 0.0000  2 Rh 2.64, 6 Mg 2.73-2.93, 2 Tc 2.80
Mg 0.5000 0.5000 0.0000  2 Rh 2.64, 6 Mg 2.73-2.93, 2 Tc 2.80
Tc 0.0000 0.0000 0.5025  6 Tc 2.59-2.73, 2 Rh 2.71
Tc 0.0000 0.5000 0.2651  6 Tc 2.59-2.73, 2 Mg 2.80
Tc 0.5000 0.0000 0.2651  6 Tc 2.59-2.73, 2 Mg 2.80
Tc 0.5000 0.5000 0.5025  6 Tc 2.59-2.73, 2 Rh 2.71
Rh 0.0000 0.5000 0.7559  2 Mg 2.64, 2 Tc 2.71, 6 Rh 2.73-2.93
Rh 0.5000 0.0000 0.7559  2 Mg 2.64, 2 Tc 2.71, 6 Rh 2.73-2.93

Crystal system: orthorhombic
Magnetic moment in μB per atom: 0.000
E_tot in eV for the cell shown: -58.43
Space-group type: Cmm2
ΔE_f in eV per atom: 0.12



Entry 6:
Compound: MgTc2Rh
Source: the Alexandria database
Functional: GGA-PBE
Structure: relaxed

a b c (Å): 3.1042 4.1390 4.6250
angles (deg): 90.00 90.00 90.00
With the nearest neighbours (Å) after each atom.
Sites, in units of the cell vectors:
Mg 0.0000 0.0000 0.0000  4 Rh 2.59, 4 Tc 2.79
Tc 0.0000 0.5000 0.5000  4 Tc 2.59, 4 Rh 2.79
Tc 0.5000 0.0000 0.5000  4 Tc 2.59, 4 Mg 2.79
Rh 0.5000 0.5000 0.0000  4 Mg 2.59, 4 Tc 2.79

Crystal system: orthorhombic
Magnetic moment in μB per atom: 0.000
E_tot in eV for the cell shown: -29.59
Space-group type: Pmmm
ΔE_f in eV per atom: 0.02



Entry 7:
Compound: MgTc2Rh2
Source: the Alexandria database
Functional: GGA-PBE
Structure: relaxed

a b c (Å): 7.6009 7.6009 2.7540
angles (deg): 90.00 90.00 90.00
With the nearest neighbours (Å) after each atom.
Sites, in units of the cell vectors:
Mg 0.0000 0.0000 0.0000  2 Mg 2.75, 4 Tc 3.04
Mg 0.5000 0.5000 0.0000  2 Mg 2.75, 4 Tc 3.04
Tc 0.1176 0.3824 0.0000  3 Tc 2.53-2.75, 6 Rh 2.63-2.64
Tc 0.3824 0.8824 0.0000  3 Tc 2.53-2.75, 6 Rh 2.63-2.64
Tc 0.6176 0.1176 0.0000  3 Tc 2.53-2.75, 6 Rh 2.63-2.64
Tc 0.8824 0.6176 0.0000  3 Tc 2.53-2.75, 6 Rh 2.63-2.64
Rh 0.1735 0.6735 0.5000  6 Tc 2.63-2.64, 2 Rh 2.75
Rh 0.3265 0.1735 0.5000  6 Tc 2.63-2.64, 2 Rh 2.75
Rh 0.6735 0.8265 0.5000  6 Tc 2.63-2.64, 2 Rh 2.75
Rh 0.8265 0.3265 0.5000  6 Tc 2.63-2.64, 2 Rh 2.75

Crystal system: tetragonal
Magnetic moment in μB per atom: 0.000
E_tot in eV for the cell shown: -73.80
Space-group type: P4/mbm
ΔE_f in eV per atom: 0.03



Entry 8:
Compound: Mg2TcRh
Source: the Alexandria database
Functional: GGA-PBE
Structure: relaxed

a b c (Å): 2.8669 2.8669 26.6868
angles (deg): 90.00 90.00 120.00
With the nearest neighbours (Å) after each atom.
Sites, in units of the cell vectors:
Mg 0.0000 0.0000 0.2465  3 Rh 2.70, 3 Tc 2.85, 6 Mg 2.87
Mg 0.0000 0.0000 0.7535  3 Rh 2.70, 3 Tc 2.85, 6 Mg 2.87
Mg 0.3333 0.6667 0.4201  3 Rh 2.70, 3 Tc 2.85, 6 Mg 2.87
Mg 0.3333 0.6667 0.9132  3 Rh 2.70, 3 Tc 2.85, 6 Mg 2.87
Mg 0.6667 0.3333 0.0868  3 Rh 2.70, 3 Tc 2.85, 6 Mg 2.87
Mg 0.6667 0.3333 0.5799  3 Rh 2.70, 3 Tc 2.85, 6 Mg 2.87
Tc 0.0000 0.0000 0.0000  6 Mg 2.85, 6 Tc 2.87
Tc 0.3333 0.6667 0.6667  6 Mg 2.85, 6 Tc 2.87
Tc 0.6667 0.3333 0.3333  6 Mg 2.85, 6 Tc 2.87
Rh 0.0000 0.0000 0.5000  6 Mg 2.70, 6 Rh 2.87
Rh 0.3333 0.6667 0.1667  6 Mg 2.70, 6 Rh 2.87
Rh 0.6667 0.3333 0.8333  6 Mg 2.70, 6 Rh 2.87

Crystal system: trigonal
Magnetic moment in μB per atom: 0.077
E_tot in eV for the cell shown: -62.44
Space-group type: R-3m
ΔE_f in eV per atom: 0.02



Entry 9:
Compound: MgTcRh
Source: the Alexandria database
Functional: GGA-PBE
Structure: relaxed

a b c (Å): 8.9972 4.0144 5.4626
angles (deg): 90.00 110.56 90.00
With the nearest neighbours (Å) after each atom.
Sites, in units of the cell vectors:
Mg 0.0000 0.0000 0.0000  5 Tc 2.67-2.95, 4 Rh 2.74-2.80, 3 Mg 2.79-2.87
Mg 0.1595 0.5000 0.8375  5 Rh 2.69-2.91, 3 Mg 2.79-2.87, 4 Tc 2.91-2.98
Mg 0.5000 0.5000 0.0000  5 Tc 2.67-2.95, 4 Rh 2.74-2.80, 3 Mg 2.79-2.87
Mg 0.6595 0.0000 0.8375  5 Rh 2.69-2.91, 3 Mg 2.79-2.87, 4 Tc 2.91-2.98
Tc 0.3495 0.0000 0.2260  2 Tc 2.46, 2 Rh 2.66-2.73
Tc 0.4742 0.5000 0.4720  2 Tc 2.46, 1 Rh 2.64, 1 Mg 2.67
Tc 0.8495 0.5000 0.2260  2 Tc 2.46, 2 Rh 2.66-2.73
Tc 0.9742 0.0000 0.4720  2 Tc 2.46, 1 Rh 2.64, 1 Mg 2.67
Rh 0.1629 0.5000 0.3467  6 Tc 2.64-2.86, 4 Mg 2.69-2.80, 2 Rh 2.80
Rh 0.3161 0.0000 0.7038  5 Mg 2.70-2.91, 5 Tc 2.73-2.99, 2 Rh 2.80
Rh 0.6629 0.0000 0.3467  6 Tc 2.64-2.86, 4 Mg 2.69-2.80, 2 Rh 2.80
Rh 0.8161 0.5000 0.7038  5 Mg 2.70-2.91, 5 Tc 2.73-2.99, 2 Rh 2.80

Crystal system: monoclinic
Magnetic moment in μB per atom: 0.000
E_tot in eV for the cell shown: -78.52
Space-group type: Cm
ΔE_f in eV per atom: -0.11



Entry 10:
Compound: Mg2TcRh
Source: the Alexandria database
Functional: GGA-PBE
Structure: relaxed

a b c (Å): 5.5117 8.8474 2.7742
angles (deg): 90.00 111.39 90.00
With the nearest neighbours (Å) after each atom.
Sites, in units of the cell vectors:
Mg 0.2500 0.2500 0.0000  2 Tc 2.71, 2 Rh 2.71, 4 Mg 2.76-2.77
Mg 0.2500 0.7500 0.0000  2 Tc 2.71, 2 Rh 2.71, 4 Mg 2.76-2.77
Mg 0.7500 0.2500 0.0000  2 Tc 2.71, 2 Rh 2.71, 4 Mg 2.76-2.77
Mg 0.7500 0.7500 0.0000  2 Tc 2.71, 2 Rh 2.71, 4 Mg 2.76-2.77
Tc 0.0000 0.0000 0.5000  4 Mg 2.71, 2 Rh 2.76, 2 Tc 2.77
Tc 0.5000 0.5000 0.5000  4 Mg 2.71, 2 Rh 2.76, 2 Tc 2.77
Rh 0.0000 0.5000 0.5000  4 Mg 2.71, 2 Tc 2.76, 2 Rh 2.77
Rh 0.5000 0.0000 0.5000  4 Mg 2.71, 2 Tc 2.76, 2 Rh 2.77

Crystal system: monoclinic
Magnetic moment in μB per atom: 0.000
E_tot in eV for the cell shown: -41.53
Space-group type: C2/m
ΔE_f in eV per atom: 0.03



Entry 11:
Compound: Mg2TcRh
Source: the Alexandria database
Functional: GGA-PBE
Structure: relaxed

a b c (Å): 3.2714 4.4613 8.6209
angles (deg): 90.00 90.00 90.00
With the nearest neighbours (Å) after each atom.
Sites, in units of the cell vectors:
Mg 0.0000 0.0000 0.2388  2 Rh 2.63, 4 Mg 2.77, 2 Tc 2.78
Mg 0.0000 0.0000 0.7612  2 Rh 2.63, 4 Mg 2.77, 2 Tc 2.78
Mg 0.5000 0.5000 0.2388  2 Rh 2.63, 4 Mg 2.77, 2 Tc 2.78
Mg 0.5000 0.5000 0.7612  2 Rh 2.63, 4 Mg 2.77, 2 Tc 2.78
Tc 0.0000 0.5000 0.5000  4 Tc 2.77, 4 Mg 2.78
Tc 0.5000 0.0000 0.5000  4 Tc 2.77, 4 Mg 2.78
Rh 0.0000 0.5000 0.0000  4 Mg 2.63, 4 Rh 2.77
Rh 0.5000 0.0000 0.0000  4 Mg 2.63, 4 Rh 2.77

Crystal system: orthorhombic
Magnetic moment in μB per atom: 0.006
E_tot in eV for the cell shown: -41.84
Space-group type: Cmmm
ΔE_f in eV per atom: 0.00



Entry 12:
Compound: MgTc2Rh
Source: the Alexandria database
Functional: GGA-PBE
Structure: relaxed

a b c (Å): 3.0260 3.0260 6.5647
angles (deg): 90.00 90.00 90.00
With the nearest neighbours (Å) after each atom.
Sites, in units of the cell vectors:
Mg 0.0000 0.0000 0.0000  4 Rh 2.66, 4 Tc 2.80
Tc 0.0000 0.0000 0.5088  4 Tc 2.57, 4 Rh 2.78
Tc 0.5000 0.5000 0.7252  4 Tc 2.57, 4 Mg 2.80
Rh 0.5000 0.5000 0.2396  4 Mg 2.66, 4 Tc 2.78

Crystal system: tetragonal
Magnetic moment in μB per atom: 0.000
E_tot in eV for the cell shown: -29.84
Space-group type: P4mm
ΔE_f in eV per atom: -0.04